--- A ---
PBE-GGA ZnC2, optimized geometry; ρ = 4.41 g/cm³; size of the total moment = 0.000 μB/f.u.; DOS at the Fermi energy = 1.273 states/eV per cell
1.0
-2.910 2.959 2.440
2.606 -1.014 -3.919
-4.681 -2.588 -2.444
C Zn
4 2
Cartesian
-3.667 2.015 1.353
-0.506 -0.262 -2.290
-1.317 -2.657 -5.276
-4.478 -0.381 -1.632
-2.086 0.876 -0.470
-2.899 -1.518 -3.452

--- B ---
PBE-GGA ZnC2, optimized geometry; ρ = 4.57 g/cm³; size of the total moment = 0.000 μB/f.u.; DOS at the Fermi energy = 3.646 states/eV per cell
1.0
-0.635 2.677 -3.558
-1.872 -4.088 0.102
-3.023 1.424 1.611
C Zn
4 2
Cartesian
0.000 0.000 0.000
-1.803 0.778 -1.936
-3.727 -0.765 0.090
-1.511 0.712 0.806
-2.216 -1.477 -0.716
-3.315 1.490 -1.130

--- C ---
PBE-GGA ZnC2, optimized geometry; ρ = 4.90 g/cm³; size of the total moment = 0.000 μB/f.u.; DOS at the Fermi energy = 1.507 states/eV per cell
1.0
2.379 0.000 0.000
0.000 2.379 0.000
0.000 0.000 5.352
C Zn
2 1
Cartesian
1.189 0.000 2.676
0.000 1.189 2.676
0.000 0.000 0.000

Of them, the most stable is A and the least stable is B.

--- A ---
PBE-GGA ZnC2, optimized geometry; ρ = 3.24 g/cm³; size of the total moment = 0.000 μB/f.u.; DOS at the Fermi energy = 0.000 states/eV per cell
1.0
3.924 -0.207 0.000
-0.482 3.900 0.000
-1.721 -1.847 3.011
C Zn
2 1
Cartesian
1.298 1.393 0.000
2.144 2.301 0.000
0.000 0.000 0.000

--- B ---
PBE-GGA ZnC2, optimized geometry; ρ = 4.27 g/cm³; size of the total moment = 0.000 μB/f.u.; DOS at the Fermi energy = 1.031 states/eV per cell
1.0
3.206 0.000 0.000
-1.603 2.777 0.000
0.000 0.000 3.908
C Zn
2 1
Cartesian
0.000 0.000 3.272
0.000 0.000 0.636
0.000 1.851 1.954

--- C ---
PBE-GGA ZnC2, optimized geometry; ρ = 3.46 g/cm³; size of the total moment = 0.000 μB/f.u.; DOS at the Fermi energy = 2.744 states/eV per cell
1.0
4.174 -3.792 1.928
-0.230 2.004 5.608
-1.918 -3.067 -4.737
C Zn
4 2
Cartesian
-0.479 0.658 3.351
1.888 -5.233 -1.734
2.506 -5.513 -0.552
0.140 0.378 4.533
-0.027 -2.465 0.656
2.054 -2.390 2.144

--- D ---
PBE-GGA ZnC2, optimized geometry; ρ = 3.21 g/cm³; size of the total moment = 0.000 μB/f.u.; DOS at the Fermi energy = 1.616 states/eV per cell
1.0
-0.746 0.216 -2.358
-0.771 -1.918 1.375
-6.851 4.659 2.593
C Zn
2 1
Cartesian
-4.188 1.123 1.427
-4.180 1.834 0.182
-0.746 0.216 -2.358

Of them, the most stable is D and the least stable is B.

--- A ---
PBE-GGA ZnC2, optimized geometry; ρ = 2.01 g/cm³; size of the total moment = 0.000 μB/f.u.; DOS at the Fermi energy = 0.760 states/eV per cell
1.0
3.456 -4.314 0.000
3.456 4.314 0.000
0.000 0.000 7.434
C Zn
6 3
Cartesian
4.128 3.201 3.717
5.355 0.000 3.717
2.785 -3.201 3.717
1.558 0.000 3.717
2.785 3.201 3.717
4.128 -3.201 3.717
3.456 -1.208 3.717
0.000 0.000 0.000
3.456 1.208 3.717

--- B ---
PBE-GGA ZnC2, optimized geometry; ρ = 2.21 g/cm³; size of the total moment = 0.000 μB/f.u.; DOS at the Fermi energy = 0.000 states/eV per cell
1.0
-5.518 3.323 0.385
-3.181 -5.442 1.383
1.037 0.993 6.291
Zn C
4 8
Cartesian
-1.915 -0.281 2.015
-2.987 -2.506 5.852
-6.265 -1.341 2.899
-4.156 1.877 5.353
-2.423 -3.806 7.071
-3.552 -1.206 4.633
-4.637 -0.820 3.655
-3.938 0.245 4.468
-0.634 -0.093 0.667
-7.893 -1.861 2.143
-3.197 -0.470 3.363
-4.373 3.509 6.238

--- C ---
PBE-GGA ZnC2, optimized geometry; ρ = 4.60 g/cm³; size of the total moment = 0.000 μB/f.u.; DOS at the Fermi energy = 0.726 states/eV per cell
1.0
1.304 4.767 0.056
-1.304 4.767 0.056
0.000 1.747 5.218
C Zn
4 2
Cartesian
0.000 6.106 2.882
0.000 6.323 4.340
0.000 1.751 4.953
0.000 7.222 2.044
0.000 1.921 0.483
0.000 9.222 2.140

Of them, the most stable is C and the least stable is A.

--- A ---
PBE-GGA ZnC2, optimized geometry; ρ = 3.84 g/cm³; size of the total moment = 0.000 μB/f.u.; DOS at the Fermi energy = 0.000 states/eV per cell
1.0
3.677 0.000 0.000
0.000 3.677 0.000
0.000 0.000 5.725
C Zn
4 2
Cartesian
1.396 2.281 2.863
2.281 1.396 2.863
0.443 0.443 0.000
3.234 3.234 0.000
1.838 1.838 0.000
0.000 0.000 2.863

--- B ---
PBE-GGA ZnC2, optimized geometry; ρ = 3.80 g/cm³; size of the total moment = 0.000 μB/f.u.; DOS at the Fermi energy = 4.674 states/eV per cell
1.0
-3.221 -0.578 -0.840
2.037 -2.585 0.764
-3.138 0.901 11.415
C Zn
6 3
Cartesian
-2.411 -0.977 3.121
-1.912 -1.286 8.217
-2.969 0.852 10.801
-1.580 -1.381 7.012
-2.742 -0.882 4.327
-0.169 0.048 0.614
-1.569 0.450 5.707
-2.419 -1.140 10.063
-1.903 -1.123 1.276

--- C ---
PBE-GGA ZnC2, optimized geometry; ρ = 3.32 g/cm³; size of the total moment = 0.000 μB/f.u.; DOS at the Fermi energy = 2.959 states/eV per cell
1.0
1.243 -2.153 0.000
1.243 2.153 0.000
0.000 0.000 16.711
C Zn
4 2
Cartesian
1.243 0.718 8.355
1.243 0.718 0.000
1.243 -0.718 16.711
1.243 -0.718 8.355
1.243 0.718 12.533
1.243 -0.718 4.178

Of them, the most stable is C and the least stable is B.

--- A ---
PBE-GGA Zn2C, optimized geometry; ρ = 6.18 g/cm³; size of the total moment = 0.000 μB/f.u.; DOS at the Fermi energy = 3.777 states/eV per cell
1.0
1.537 -2.662 0.000
1.537 2.662 0.000
0.000 0.000 9.381
Zn C
4 2
Cartesian
1.537 -0.887 1.085
1.537 -0.887 3.605
1.537 0.887 5.776
1.537 0.887 8.296
0.000 0.000 7.036
0.000 0.000 2.345

--- B ---
PBE-GGA Zn2C, optimized geometry; ρ = 6.52 g/cm³; size of the total moment = 0.000 μB/f.u.; DOS at the Fermi energy = 0.604 states/eV per cell
1.0
5.260 0.000 0.000
0.000 5.260 0.000
0.000 0.000 5.260
Zn C
8 4
Cartesian
4.259 1.000 1.629
4.259 1.629 4.259
1.629 1.629 3.630
1.000 4.259 3.630
3.630 4.259 4.259
3.630 3.630 1.629
1.000 3.630 1.000
1.629 1.000 1.000
2.630 0.000 2.630
2.630 2.630 0.000
0.000 0.000 0.000
0.000 2.630 2.630

--- C ---
PBE-GGA Zn2C, optimized geometry; ρ = 6.19 g/cm³; size of the total moment = 0.000 μB/f.u.; DOS at the Fermi energy = 1.310 states/eV per cell
1.0
3.671 -3.373 -1.902
3.901 -3.060 0.995
-1.162 -2.608 -0.628
Zn C
2 1
Cartesian
4.401 -5.044 -0.806
2.009 -3.997 -0.730
0.000 0.000 0.000

--- D ---
PBE-GGA Zn2C, optimized geometry; ρ = 6.15 g/cm³; size of the total moment = 0.000 μB/f.u.; DOS at the Fermi energy = 0.568 states/eV per cell
1.0
-2.046 -1.091 -4.222
2.661 -4.008 -0.253
-2.384 -1.683 1.590
Zn C
4 2
Cartesian
1.248 -3.132 -1.445
-0.633 -1.967 -3.031
-1.069 -1.860 -0.099
-0.700 -4.922 -2.787
0.000 0.000 0.000
-0.884 -3.391 -1.443

Of them, the most stable is D and the least stable is C.

--- A ---
PBE-GGA Zn2C, optimized geometry; ρ = 6.38 g/cm³; size of the total moment = 0.000 μB/f.u.; DOS at the Fermi energy = 2.320 states/eV per cell
1.0
-1.363 1.365 10.003
1.363 -1.365 10.003
1.363 1.365 -10.003
Zn C
4 2
Cartesian
1.363 -0.682 8.851
0.000 2.047 3.849
1.363 -0.682 6.154
0.000 2.047 1.152
1.363 0.682 2.502
0.000 0.682 7.501

--- B ---
PBE-GGA Zn2C, optimized geometry; ρ = 6.56 g/cm³; size of the total moment = 0.000 μB/f.u.; DOS at the Fermi energy = 1.184 states/eV per cell
1.0
-0.446 3.207 -1.705
-3.382 -0.992 -0.983
-1.954 2.149 4.554
C Zn
2 4
Cartesian
-1.717 3.247 2.630
-2.150 0.009 0.580
-1.914 1.107 -1.344
-0.991 2.448 0.937
0.000 0.000 0.000
-2.877 0.808 2.273

Of them, the most stable is B and the least stable is A.

--- A ---
PBE-GGA Zn2C, optimized geometry; ρ = 5.69 g/cm³; size of the total moment = 0.000 μB/f.u.; DOS at the Fermi energy = 0.334 states/eV per cell
1.0
1.726 2.957 -0.002
-1.726 2.957 -0.002
0.000 1.054 4.080
C Zn
1 2
Cartesian
0.000 2.957 -0.002
0.000 1.008 0.846
0.000 5.960 3.231

--- B ---
PBE-GGA Zn2C, optimized geometry; ρ = 6.44 g/cm³; size of the total moment = 0.000 μB/f.u.; DOS at the Fermi energy = 1.279 states/eV per cell
1.0
-2.534 2.534 2.866
2.534 -2.534 2.866
2.534 2.534 -2.866
Zn C
4 2
Cartesian
1.426 1.108 2.866
1.108 1.426 0.000
-1.108 1.426 2.866
3.641 1.108 0.000
0.000 0.000 4.300
0.000 0.000 1.433

--- C ---
PBE-GGA Zn2C, optimized geometry; ρ = 6.31 g/cm³; size of the total moment = 0.000 μB/f.u.; DOS at the Fermi energy = 1.452 states/eV per cell
1.0
-3.064 -1.644 0.624
2.529 0.019 2.467
-2.617 5.878 2.638
Zn C
4 2
Cartesian
-1.308 2.939 1.319
-1.854 0.380 1.898
0.000 0.000 0.000
-1.298 3.873 3.831
-3.162 3.318 3.217
0.011 0.934 2.512

Of them, the most stable is A and the least stable is B.

--- A ---
PBE-GGA Zn2C, optimized geometry; ρ = 5.42 g/cm³; size of the total moment = 0.000 μB/f.u.; DOS at the Fermi energy = 1.852 states/eV per cell
1.0
0.309 3.405 -0.205
-2.774 -1.383 1.457
3.967 0.100 7.649
C Zn
2 4
Cartesian
1.984 0.050 3.825
0.000 0.000 0.000
-1.357 0.223 1.654
1.655 1.869 4.925
-0.152 0.253 3.976
2.859 1.899 7.247

--- B ---
PBE-GGA Zn2C, optimized geometry; ρ = 5.94 g/cm³; size of the total moment = 0.000 μB/f.u.; DOS at the Fermi energy = 1.054 states/eV per cell
1.0
-2.193 1.019 -3.422
-1.996 -1.085 3.521
-0.022 2.512 0.762
C Zn
1 2
Cartesian
0.000 0.000 0.000
-2.072 0.872 1.587
-2.138 1.574 -0.727

--- C ---
PBE-GGA Zn2C, optimized geometry; ρ = 6.08 g/cm³; size of the total moment = 0.000 μB/f.u.; DOS at the Fermi energy = 1.182 states/eV per cell
1.0
1.732 -6.627 0.000
1.732 6.627 0.000
0.000 0.000 3.397
Zn C
4 2
Cartesian
1.732 -1.013 0.849
1.732 -3.336 2.548
1.732 3.336 0.849
1.732 1.013 2.548
1.732 4.721 2.548
1.732 -4.721 0.849

Of them, the most stable is A and the least stable is B.

--- A ---
PBE-GGA Zn2C, optimized geometry; ρ = 6.12 g/cm³; size of the total moment = 0.000 μB/f.u.; DOS at the Fermi energy = 5.457 states/eV per cell
1.0
18.116 0.007 0.000
17.639 4.129 0.000
-17.878 -2.068 2.075
Zn C
8 4
Cartesian
27.715 3.206 0.000
12.228 0.370 1.037
8.041 0.930 0.000
21.048 2.435 0.000
0.778 1.134 1.037
14.708 1.701 0.000
16.861 2.995 1.037
5.888 -0.363 1.037
33.150 3.835 0.000
11.425 2.366 1.037
2.606 0.301 0.000
6.214 1.763 1.037

--- B ---
PBE-GGA Zn2C, optimized geometry; ρ = 6.29 g/cm³; size of the total moment = 0.000 μB/f.u.; DOS at the Fermi energy = 1.258 states/eV per cell
1.0
2.405 3.170 -3.312
-3.178 -4.054 0.516
-3.949 3.109 0.108
Zn C
4 2
Cartesian
-5.340 0.426 -0.303
-4.486 -2.787 0.477
-1.106 5.697 -3.140
-0.452 2.642 -2.355
-3.356 0.545 -0.889
-0.083 0.670 -1.833

Of them, the most stable is B and the least stable is A.